#A
{"formula": "Ni2RuRh", "functional": "meta-GGA SCAN", "state": "PBEsol geometry", "lattice": [[2.6010, 0.0000, 0.0000], [0.0000, 4.3739, -0.0105], [-1.3005, -0.7676, 4.2013]], "species": ["Rh", "Ni", "Ni", "Ru"], "fractional_positions": [[0.5005, 0.4957, 0.0010], [0.9987, 0.9931, 0.9973], [0.2526, 0.7610, 0.5052], [0.7483, 0.2502, 0.4966]]}

#B
{"formula": "Ni2RuRh", "functional": "meta-GGA SCAN", "state": "PBEsol geometry", "lattice": [[2.6129, 0.0000, 0.0206], [0.0000, 3.6241, 0.0000], [-0.0393, 0.0000, 5.0579]], "species": ["Ni", "Ru", "Ni", "Rh"], "fractional_positions": [[0.0001, 0.0000, 0.0052], [0.5000, 0.5000, 0.7543], [0.4998, 0.5000, 0.2399], [0.0001, 0.0000, 0.5007]]}

Relative to the most stable structure, the computed energies are #A 0; #B 6, all in meV per atom.

#A
{"formula": "NiRuRh", "functional": "meta-GGA SCAN", "state": "PBEsol geometry", "lattice": [[2.6287, 0.0000, 0.0000], [-1.3144, 2.2766, 0.0000], [0.0000, 0.0000, 6.2864]], "species": ["Ni", "Ru", "Rh"], "fractional_positions": [[0.0000, 0.0000, 0.0038], [0.3333, 0.6667, 0.3270], [0.6667, 0.3333, 0.6692]]}

#B
{"formula": "NiRuRh", "functional": "meta-GGA SCAN", "state": "PBEsol geometry", "lattice": [[-1.3592, -1.4324, -1.7556], [2.9837, -0.2978, -2.0670], [0.1698, -2.3765, 3.7958]], "species": ["Rh", "Ni", "Ru"], "fractional_positions": [[0.6663, 0.6663, 0.3326], [0.9975, 0.9975, 0.9951], [0.3361, 0.3361, 0.6723]]}

#C
{"formula": "NiRuRh", "functional": "meta-GGA SCAN", "state": "PBEsol geometry", "lattice": [[-1.6928, -1.8600, 0.7838], [-0.6708, -0.4465, -2.5080], [5.0810, -2.5565, 0.4796]], "species": ["Ru", "Ni", "Rh"], "fractional_positions": [[0.3367, 0.3367, 0.6733], [0.9972, 0.9972, 0.9943], [0.6662, 0.6662, 0.3324]]}

Relative to the most stable structure, the computed energies are #A 61; #B 0; #C 43, all in meV per atom.

#A
{"formula": "Ni2RhSe", "functional": "meta-GGA SCAN", "state": "PBEsol geometry", "lattice": [[-0.6212, 2.0988, -2.1158], [2.8118, -1.7336, -2.5451], [-3.6501, -1.8617, -0.7748]], "species": ["Ni", "Se", "Ni", "Rh"], "fractional_positions": [[0.0000, 0.5000, 0.0000], [0.5000, 0.0000, 0.0000], [0.0000, 0.0000, 0.5000], [0.5000, 0.5000, 0.5000]]}

#B
{"formula": "Ni2RhSe", "functional": "meta-GGA SCAN", "state": "PBEsol geometry", "lattice": [[2.8163, 0.0003, -0.0002], [1.4084, 2.4389, -0.0002], [1.4078, 0.8128, 7.5667]], "species": ["Se", "Ni", "Rh", "Ni"], "fractional_positions": [[0.2551, 0.2551, 0.2346], [0.7464, 0.7464, 0.7609], [0.5000, 0.5000, 0.5002], [0.9985, 0.9985, 0.0043]]}

Relative to the most stable structure, the computed energies are #A 0; #B 108, all in meV per atom.

#A
{"formula": "NiRh2Se", "functional": "meta-GGA SCAN", "state": "PBEsol geometry", "lattice": [[3.1040, 0.0000, 0.0000], [0.0000, 3.1163, 0.0000], [0.0000, 0.0000, 5.5300]], "species": ["Rh", "Rh", "Se", "Ni"], "fractional_positions": [[0.0000, 0.0000, 0.7385], [0.0000, 0.0000, 0.2615], [0.5000, 0.5000, 0.0000], [0.5000, 0.5000, 0.5000]]}

#B
{"formula": "NiRh2Se", "functional": "meta-GGA SCAN", "state": "PBEsol geometry", "lattice": [[2.8932, 0.0000, 0.0000], [0.0000, 4.2475, 0.0000], [-1.4466, -2.1238, 4.3579]], "species": ["Rh", "Se", "Ni", "Rh"], "fractional_positions": [[0.9929, 0.9929, 0.9858], [0.5055, 0.5055, 0.0110], [0.2269, 0.7269, 0.4539], [0.7746, 0.2746, 0.5493]]}

Relative to the most stable structure, the computed energies are #A 0; #B 41, all in meV per atom.